Entry 1:
Entry from Alexandria via LeMat-Bulk: an optimized crystal structure of Na12SrBi4 (PBE-GGA).

Calculated values
Space group: Im-3
Magnetic moment: 0.000 μB/f.u.

Cell lengths 10.5810, 10.5810, 10.5810 Å; angles 109.47, 109.47, 109.47 degrees
Closest atoms and distances in Å follow each position.
Positions (direct):
Na 0.7601 0.2562 0.0163  2 Bi 3.06
Na 0.2562 0.4961 0.2399  2 Bi 3.06
Na 0.9837 0.2399 0.7438  2 Bi 3.06
Na 0.2562 0.0163 0.7601  2 Bi 3.06
Na 0.0163 0.7601 0.2562  2 Bi 3.06
Na 0.7438 0.5039 0.7601  2 Bi 3.06
Na 0.4961 0.2399 0.2562  2 Bi 3.06
Na 0.5039 0.7601 0.7438  2 Bi 3.06
Na 0.7438 0.9837 0.2399  2 Bi 3.06
Na 0.7601 0.7438 0.5039  2 Bi 3.06
Na 0.2399 0.2562 0.4961  2 Bi 3.06
Na 0.2399 0.7438 0.9837  2 Bi 3.06
Sr 0.0000 0.0000 0.0000  12 Na 4.29
Bi 0.0000 0.5000 0.0000  6 Na 3.06
Bi 0.5000 0.0000 0.0000  6 Na 3.06
Bi 0.5000 0.5000 0.5000  6 Na 3.06
Bi 0.0000 0.0000 0.5000  6 Na 3.06

---

Entry 2:
Entry from Alexandria via LeMat-Bulk: an optimized crystal structure of Na2Sr2Bi (PBE-GGA).

Calculated values
Space group: P4/mbm
Excess energy over the best structure of this formula in the dataset: 106 meV per atom
Magnetic moment: 0.433 μB/f.u.

Cell lengths 8.7920, 8.7920, 6.1473 Å; angles 90.00, 90.00, 90.00 degrees
Closest atoms and distances in Å follow each position.
Positions (direct):
Sr 0.3341 0.8341 0.0000  2 Bi 3.28
Sr 0.8341 0.6659 0.0000  2 Bi 3.28
Sr 0.6659 0.1659 0.0000  2 Bi 3.28
Sr 0.1659 0.3341 0.0000  2 Bi 3.28
Bi 0.0000 0.0000 0.0000  4 Sr 3.28
Bi 0.5000 0.5000 0.0000  4 Sr 3.28
Na 0.1441 0.6441 0.5000  1 Na 3.58, 2 Sr 3.88
Na 0.6441 0.8559 0.5000  1 Na 3.58, 2 Sr 3.88
Na 0.8559 0.3559 0.5000  1 Na 3.58, 2 Sr 3.88
Na 0.3559 0.1441 0.5000  1 Na 3.58, 2 Sr 3.88

---

Entry 3:
Entry from Alexandria via LeMat-Bulk: an optimized crystal structure of NaSrBi4 (PBE-GGA).

Calculated values
Space group: F-43m
Magnetic moment: 0.000 μB/f.u.

Cell lengths 6.7110, 6.7110, 6.7110 Å; angles 60.00, 60.00, 60.00 degrees
Closest atoms and distances in Å follow each position.
Positions (direct):
Sr 0.0000 0.0000 0.0000  12 Bi 3.94, 4 Na 4.11
Bi 0.6247 0.6247 0.1260  6 Bi 3.35-3.36
Bi 0.6247 0.1260 0.6247  6 Bi 3.35-3.36
Bi 0.6247 0.6247 0.6247  6 Bi 3.35-3.36
Bi 0.1260 0.6247 0.6247  6 Bi 3.35-3.36
Na 0.2500 0.2500 0.2500  12 Bi 3.93, 4 Sr 4.11

---

Entry 4:
Entry from Alexandria via LeMat-Bulk: an optimized crystal structure of Na4SrBi2 (PBE-GGA).

Calculated values
Space group: P4_2/mnm
Excess energy over the best structure of this formula in the dataset: 27 meV per atom
Magnetic moment: 0.000 μB/f.u.

Cell lengths 5.3129, 9.2269, 9.2269 Å; angles 90.00, 90.00, 90.00 degrees
Closest atoms and distances in Å follow each position.
Positions (direct):
Na 0.0000 0.1039 0.3440  2 Na 3.13-3.46, 3 Bi 3.16-3.20
Na 0.0000 0.8961 0.6560  2 Na 3.13-3.46, 3 Bi 3.16-3.20
Na 0.5000 0.1560 0.6039  2 Na 3.13-3.46, 3 Bi 3.16-3.20
Na 0.5000 0.8440 0.3961  2 Na 3.13-3.46, 3 Bi 3.16-3.20
Na 0.5000 0.3961 0.8440  2 Na 3.13-3.46, 3 Bi 3.16-3.20
Na 0.5000 0.6039 0.1560  2 Na 3.13-3.46, 3 Bi 3.16-3.20
Na 0.0000 0.3440 0.1039  2 Na 3.13-3.46, 3 Bi 3.16-3.20
Na 0.0000 0.6560 0.8961  2 Na 3.13-3.46, 3 Bi 3.16-3.20
Sr 0.5000 0.0000 0.0000  6 Bi 3.76-3.83, 4 Na 3.93
Sr 0.0000 0.5000 0.5000  6 Bi 3.76-3.83, 4 Na 3.93
Bi 0.0000 0.2118 0.7882  6 Na 3.16-3.20
Bi 0.0000 0.7882 0.2118  6 Na 3.16-3.20
Bi 0.5000 0.7118 0.7118  6 Na 3.16-3.20
Bi 0.5000 0.2882 0.2882  6 Na 3.16-3.20

---

Entry 5:
Entry from Alexandria via LeMat-Bulk: an optimized crystal structure of NaSr2Bi2 (PBE-GGA).

Calculated values
Space group: I4/mmm
Excess energy over the best structure of this formula in the dataset: 223 meV per atom
Magnetic moment: 0.000 μB/f.u.

Cell lengths 6.5712, 6.5712, 6.8268 Å; angles 61.23, 61.23, 90.00 degrees
Closest atoms and distances in Å follow each position.
Positions (direct):
Sr 0.7500 0.2500 0.5000  4 Bi 3.40
Sr 0.2500 0.7500 0.5000  4 Bi 3.40
Bi 0.3361 0.3361 0.3278  1 Bi 3.28, 1 Na 3.36, 4 Sr 3.40
Bi 0.6639 0.6639 0.6722  1 Bi 3.28, 1 Na 3.36, 4 Sr 3.40
Na 0.0000 0.0000 0.0000  2 Bi 3.36

---

Entry 6:
Entry from Alexandria via LeMat-Bulk: an optimized crystal structure of Na2SrBi2 (PBE-GGA).

Calculated values
Space group: P4/mbm
Excess energy over the best structure of this formula in the dataset: 75 meV per atom
Magnetic moment: 0.000 μB/f.u.

Cell lengths 9.3281, 9.3281, 3.5631 Å; angles 90.00, 90.00, 90.00 degrees
Closest atoms and distances in Å follow each position.
Positions (direct):
Sr 0.0000 0.0000 0.0000  2 Sr 3.56, 4 Na 3.76, 8 Bi 3.85
Sr 0.5000 0.5000 0.0000  2 Sr 3.56, 4 Na 3.76, 8 Bi 3.85
Bi 0.1851 0.6851 0.5000  6 Na 3.20-3.37, 2 Bi 3.56
Bi 0.6851 0.8149 0.5000  6 Na 3.20-3.37, 2 Bi 3.56
Bi 0.8149 0.3149 0.5000  6 Na 3.20-3.37, 2 Bi 3.56
Bi 0.3149 0.1851 0.5000  6 Na 3.20-3.37, 2 Bi 3.56
Na 0.3868 0.8868 0.0000  1 Na 2.99, 2 Bi 3.20
Na 0.8868 0.6132 0.0000  1 Na 2.99, 2 Bi 3.20
Na 0.6132 0.1132 0.0000  1 Na 2.99, 2 Bi 3.20
Na 0.1132 0.3868 0.0000  1 Na 2.99, 2 Bi 3.20

---

Entry 7:
Entry from Alexandria via LeMat-Bulk: an optimized crystal structure of NaSr2Bi2 (PBE-GGA).

Calculated values
Space group: Ibam
Excess energy over the best structure of this formula in the dataset: 42 meV per atom
Magnetic moment: 0.000 μB/f.u.

Cell lengths 6.7472, 9.0956, 8.6183 Å; angles 121.85, 113.04, 90.00 degrees
Closest atoms and distances in Å follow each position.
Positions (direct):
Na 0.7500 0.5000 0.0000  4 Bi 3.31, 2 Na 3.37
Na 0.2500 0.5000 0.0000  4 Bi 3.31, 2 Na 3.37
Sr 0.8618 0.7161 0.7237  5 Bi 3.36-3.48
Sr 0.1382 0.2839 0.2763  5 Bi 3.36-3.48
Sr 0.6382 0.9924 0.2763  5 Bi 3.36-3.48
Sr 0.3618 0.0076 0.7237  5 Bi 3.36-3.48
Bi 0.3828 0.6476 0.7656  2 Na 3.31, 5 Sr 3.36-3.48
Bi 0.6172 0.3524 0.2344  2 Na 3.31, 5 Sr 3.36-3.48
Bi 0.1172 0.8820 0.2344  2 Na 3.31, 5 Sr 3.36-3.48
Bi 0.8828 0.1180 0.7656  2 Na 3.31, 5 Sr 3.36-3.48

---

Entry 8:
Entry from Alexandria via LeMat-Bulk: an optimized crystal structure of Na4SrBi5 (PBE-GGA).

Calculated values
Space group: P4/mmm
Magnetic moment: 0.000 μB/f.u.

Cell lengths 4.3104, 4.3104, 16.6473 Å; angles 90.00, 90.00, 90.00 degrees
Closest atoms and distances in Å follow each position.
Positions (direct):
Na 0.0000 0.0000 0.2095  1 Na 3.22, 8 Bi 3.41-3.51, 1 Sr 3.49
Na 0.0000 0.0000 0.4028  2 Na 3.22-3.24, 8 Bi 3.45-3.48
Na 0.0000 0.0000 0.5972  2 Na 3.22-3.24, 8 Bi 3.45-3.48
Na 0.0000 0.0000 0.7905  1 Na 3.22, 8 Bi 3.41-3.51, 1 Sr 3.49
Sr 0.0000 0.0000 0.0000  2 Na 3.49, 8 Bi 3.52
Bi 0.5000 0.5000 0.1053  2 Bi 3.27-3.51, 4 Na 3.51, 4 Sr 3.52
Bi 0.5000 0.5000 0.3016  2 Bi 3.27-3.30, 8 Na 3.41-3.48
Bi 0.5000 0.5000 0.5000  2 Bi 3.30, 8 Na 3.45
Bi 0.5000 0.5000 0.6984  2 Bi 3.27-3.30, 8 Na 3.41-3.48
Bi 0.5000 0.5000 0.8947  2 Bi 3.27-3.51, 4 Na 3.51, 4 Sr 3.52

---

no.,energy of formation (eV per atom)
1,-0.1586
2,-0.1524
3,-0.2588
4,-0.4766
5,-0.4477
6,-0.4423
7,-0.6287
8,-0.3248